# 1
Compound: Ba6HN2
Source: the Alexandria database
Functional: GGA-PBE
Structure: relaxed

Lattice parameters (Å, degrees): 8.0046 8.0046 10.8295 108.24 108.24 33.19
Element x y z (fractional)
Ba (0.1171, 0.1171, 0.1496)
Ba (0.1645, 0.1645, 0.5299)
Ba (0.3732, 0.3732, 0.2003)
Ba (0.6268, 0.6268, 0.7997)
Ba (0.8355, 0.8355, 0.4701)
Ba (0.8829, 0.8829, 0.8504)
H (0.5000, 0.5000, 0.0000)
N (0.2643, 0.2643, 0.3418)
N (0.7357, 0.7357, 0.6582)

energy above the lowest structure with this stoichiometry = 4 meV per atom
magnetic moment = 0.00 μB/f.u.
SG = C2/m

# 2
Compound: Ba4H4N
Source: the Alexandria database
Functional: GGA-PBE
Structure: relaxed

Lattice parameters (Å, degrees): 7.5829 7.5829 7.5829 127.15 127.15 78.00
Element x y z (fractional)
Ba (0.0920, 0.6650, 0.0000)
Ba (0.3350, 0.3350, 0.4270)
Ba (0.6650, 0.0920, 0.0000)
Ba (0.9080, 0.9080, 0.5730)
H (0.0000, 0.5000, 0.5000)
H (0.2840, 0.2840, 0.0000)
H (0.5000, 0.0000, 0.5000)
H (0.7160, 0.7160, 0.0000)
N (0.0000, 0.0000, 0.0000)

VASP energy = -32.51 eV/cell
magnetic moment = 1.02 μB/f.u.
SG = I-42m